Here is a relaxed structure of Th3TlF13 from the Open Quantum Materials Database. Energies are from PBE-GGA. Values from VASP.

Output
Space group: Pmc2_1 (26)
Size of the total moment in μB/f.u.: 0.01
Total DFT energy (no corrections) in eV per atom: -6.751
Mass density in g/cm3: 7.57

The structure in Quantum ESPRESSO input format:
```
&SYSTEM
  ibrav = 0, nat = 34, ntyp = 3
/
ATOMIC_SPECIES
F 19.00 F.upf
Th 232.04 Th.upf
Tl 204.38 Tl.upf
ATOMIC_POSITIONS crystal
F 0.190 0.548 0.012
F 0.810 0.548 0.012
F 0.238 0.175 0.055
F 0.762 0.175 0.055
F 0.500 0.364 0.093
F 0.500 0.968 0.149
F 0.000 0.571 0.269
F 0.324 0.700 0.272
F 0.676 0.700 0.272
F 0.000 0.223 0.285
F 0.301 0.114 0.373
F 0.699 0.114 0.373
F 0.500 0.402 0.379
F 0.190 0.452 0.512
F 0.810 0.452 0.512
F 0.238 0.825 0.555
F 0.762 0.825 0.555
F 0.500 0.636 0.593
F 0.500 0.032 0.649
F 0.000 0.429 0.769
F 0.324 0.300 0.772
F 0.676 0.300 0.772
F 0.000 0.777 0.785
F 0.301 0.886 0.873
F 0.699 0.886 0.873
F 0.500 0.598 0.879
Th 0.246 0.397 0.250
Th 0.754 0.397 0.250
Th 0.500 0.891 0.413
Th 0.246 0.603 0.750
Th 0.754 0.603 0.750
Th 0.500 0.109 0.913
Tl 0.000 0.899 0.111
Tl 0.000 0.101 0.611
CELL_PARAMETERS angstrom
8.043 0.000 0.000
0.000 7.331 0.000
0.000 0.000 8.534
```